[1]
KOsPb2: optimized geometry, PBE-GGA.

Its excess energy over the best structure of this formula in the dataset is 326 meV/atom. For the energy of formation from the pure elements, the calculation gives 0.691 eV per atom.

The space group is Amm2 (No. 38) and the conventional cell measures 5.179, 3.549 and 15.288 Å, with angles of 90.00, 90.00 and 90.00 degrees. The asymmetric unit holds K at (0.000, 0.000, 0.000), Os at (0.500, 0.000, 0.730), Pb at (0.000, 0.000, 0.707) and Pb at (0.500, 0.000, 0.362).

=====

[2]
GeBiMo2: optimized geometry, PBE-GGA.

Its excess energy over the best structure of this formula in the dataset is 0 meV/atom. For the energy of formation from the pure elements, the calculation gives 0.525 eV per atom.

The space group is Fm-3m (No. 225) and the conventional cell measures 6.584, 6.584 and 6.584 Å, with angles of 90.00, 90.00 and 90.00 degrees. The asymmetric unit holds Ge at (0.000, 0.000, 0.000), Bi at (0.000, 0.000, 0.500) and Mo at (0.250, 0.250, 0.250).

=====

Copy entry 2 word for word.
GeBiMo2: optimized geometry, PBE-GGA.

Its excess energy over the best structure of this formula in the dataset is 0 meV/atom. For the energy of formation from the pure elements, the calculation gives 0.525 eV per atom.

The space group is Fm-3m (No. 225) and the conventional cell measures 6.584, 6.584 and 6.584 Å, with angles of 90.00, 90.00 and 90.00 degrees. The asymmetric unit holds Ge at (0.000, 0.000, 0.000), Bi at (0.000, 0.000, 0.500) and Mo at (0.250, 0.250, 0.250).